Entry 1:
A geometry-optimized Ba2LaIn structure. Source: Alexandria via LeMat-Bulk, functional GGA-PBE.

Cell lengths 7.649, 10.614, 4.065 Å; angles 90.00, 90.12, 90.00 degrees
Space group C2/m (No. 12)
Unique sites:
Ba 0.250 0.250 0.000
La 0.000 0.000 0.500
In 0.000 0.500 0.500

Calculated values
* volume: 330.0 Å³ per cell
* ΔE_f: -0.021 eV per atom

***

Entry 2:
A geometry-optimized VPd2Pb2 structure. Source: Alexandria via LeMat-Bulk, functional GGA-PBE.

Cell lengths 3.807, 3.807, 15.150 Å; angles 90.00, 90.00, 90.00 degrees
Space group I4/mmm (No. 139)
Unique sites:
V 0.000 0.000 0.000
Pd 0.000 0.500 0.250
Pb 0.000 0.000 0.389

Calculated values
* volume: 219.6 Å³ per cell
* ΔE_f: 0.300 eV per atom
* distance to the lowest polymorph of the same formula: 0.49 eV/f.u.

***

Entry 3:
A geometry-optimized LaIn3Se structure. Source: Alexandria via LeMat-Bulk, functional GGA-PBE.

Cell lengths 6.129, 6.129, 6.129 Å; angles 90.00, 90.00, 90.00 degrees
Space group Pm-3m (No. 221)
Unique sites:
La 0.000 0.000 0.000
In 0.000 0.000 0.500
Se 0.500 0.500 0.500

Calculated values
* volume: 230.3 Å³ per cell
* formation energy (no corrections): 0.744 eV/atom
* distance to the lowest polymorph of the same formula: 3.26 eV/f.u.

***

Entry 4:
A geometry-optimized PmSnAs2 structure. Source: Alexandria via LeMat-Bulk, functional GGA-PBE.

Cell lengths 4.1483, 4.1483, 21.1880 Å; angles 90.00, 90.00, 120.00 degrees
Space group R-3m (No. 166, hexagonal axes)
Unique sites:
Pm 0.0000 0.0000 0.0000
Sn 0.0000 0.0000 0.5000
As 0.0000 0.0000 0.2492

Calculated values
* volume: 315.8 Å³ per cell
* ΔE_f: -0.614 eV per atom
* distance to the lowest polymorph of the same formula: 0.00 eV/f.u.